The following is a PBE calculation of TbTlAu after structural relaxation, from Alexandria.

Geometry as CIF:
```
data_TbTlAu
_chemical_formula_sum 'Tb1 Tl1 Au1'
_symmetry_space_group_name_H-M 'P -6 m 2'
_symmetry_Int_Tables_number 187
_symmetry_space_group_name_Hall 'P -6 2'
_cell_length_a 4.8974
_cell_length_b 4.8974
_cell_length_c 3.4645
_cell_angle_alpha 90.00
_cell_angle_beta 90.00
_cell_angle_gamma 120.00
loop_
_atom_site_label
_atom_site_fract_x
_atom_site_fract_y
_atom_site_fract_z
Tb1 0.0000 0.0000 0.0000
Tl1 0.3333 0.6667 0.5000
Au1 0.6667 0.3333 0.5000
```



The following is a PBE calculation of TbTlAu after structural relaxation, from Alexandria.

Geometry as CIF:
```
data_TbTlAu
_chemical_formula_sum 'Tb2 Tl2 Au2'
_symmetry_space_group_name_H-M 'P 63/m m c'
_symmetry_Int_Tables_number 194
_symmetry_space_group_name_Hall '-P 6c 2c'
_cell_length_a 5.1224
_cell_length_b 5.1224
_cell_length_c 6.3827
_cell_angle_alpha 90.00
_cell_angle_beta 90.00
_cell_angle_gamma 120.00
loop_
_atom_site_label
_atom_site_fract_x
_atom_site_fract_y
_atom_site_fract_z
Tb1 0.3333 0.6667 0.2500
Tl1 0.0000 0.0000 0.0000
Au1 0.3333 0.6667 0.7500
```



The following is a PBE calculation of TbYTlAu after structural relaxation, from Alexandria.

Summary:
ΔE to the lowest computed polymorph ... 0.0 meV/atom

Geometry as CIF:
```
data_TbYTlAu
_chemical_formula_sum 'Tb1 Y1 Tl1 Au1'
_symmetry_space_group_name_H-M 'P 4 m m'
_symmetry_Int_Tables_number 99
_cell_length_a 3.637
_cell_length_b 3.637
_cell_length_c 7.723
_cell_angle_alpha 90.00
_cell_angle_beta 90.00
_cell_angle_gamma 90.00
loop_
_symmetry_equiv_pos_as_xyz
'x,y,z'
'-y,x,z'
'-x,-y,z'
'y,-x,z'
'-x,y,z'
'y,x,z'
'x,-y,z'
'-y,-x,z'
loop_
_atom_site_label
_atom_site_fract_x
_atom_site_fract_y
_atom_site_fract_z
Tb1 0.000 0.000 0.000
Y1 0.000 0.000 0.461
Tl1 0.500 0.500 0.729
Au1 0.500 0.500 0.231
```



The following is a PBE calculation of TbYTlAu after structural relaxation, from Alexandria.

Summary:
ΔE to the lowest computed polymorph ... 39.5 meV/atom

Geometry as CIF:
```
data_TbYTlAu
_chemical_formula_sum 'Tb4 Y4 Tl4 Au4'
_symmetry_space_group_name_H-M 'F -4 3 m'
_symmetry_Int_Tables_number 216
_symmetry_space_group_name_Hall 'F -4 2 3'
_cell_length_a 7.433
_cell_length_b 7.433
_cell_length_c 7.433
_cell_angle_alpha 90.00
_cell_angle_beta 90.00
_cell_angle_gamma 90.00
loop_
_atom_site_label
_atom_site_fract_x
_atom_site_fract_y
_atom_site_fract_z
Tb1 0.000 0.000 0.000
Y1 0.000 0.000 0.500
Tl1 0.250 0.250 0.250
Au1 0.250 0.250 0.750
```



The following is a PBE calculation of TbTmAu after structural relaxation, from Alexandria.

Summary:
ΔE to the lowest computed polymorph ... 0.0 meV/atom

Geometry as CIF:
```
data_TbTmAu
_chemical_formula_sum 'Tb4 Tm4 Au4'
_symmetry_space_group_name_H-M 'P n m a'
_symmetry_Int_Tables_number 62
_cell_length_a 7.124
_cell_length_b 4.930
_cell_length_c 8.872
_cell_angle_alpha 90.00
_cell_angle_beta 90.00
_cell_angle_gamma 90.00
loop_
_symmetry_equiv_pos_as_xyz
'x,y,z'
'-x,-y,-z'
'-x+1/2,-y,z+1/2'
'x+1/2,y,-z+1/2'
'x+1/2,-y+1/2,-z+1/2'
'-x+1/2,y+1/2,z+1/2'
'-x,y+1/2,-z'
'x,-y+1/2,z'
loop_
_atom_site_label
_atom_site_fract_x
_atom_site_fract_y
_atom_site_fract_z
Tb1 0.014 0.250 0.177
Tm1 0.148 0.250 0.580
Au1 0.247 0.250 0.901
```



The following is a PBE calculation of TbTm5Au6 after structural relaxation, from Alexandria.

Geometry as CIF:
```
data_TbTm5Au6
_chemical_formula_sum 'Tb2 Tm10 Au12'
_symmetry_space_group_name_H-M 'I m m m'
_symmetry_Int_Tables_number 71
_symmetry_space_group_name_Hall '-I 2 2'
_cell_length_a 5.063
_cell_length_b 7.038
_cell_length_c 15.243
_cell_angle_alpha 90.00
_cell_angle_beta 90.00
_cell_angle_gamma 90.00
loop_
_atom_site_label
_atom_site_fract_x
_atom_site_fract_y
_atom_site_fract_z
Tb1 0.000 0.000 0.000
Tm1 0.000 0.000 0.333
Tm2 0.000 0.500 0.000
Tm3 0.000 0.500 0.334
Au1 0.000 0.244 0.500
Au2 0.000 0.253 0.169
```



E_form readings, ordered: -503.0; -605.1; -615.1; -575.6; -650.6; -884.7 meV/atom
V readings, ordered: 23.99; 24.17; 25.54; 25.66; 25.97; 22.63 Å³ per atom
Calculated density readings, ordered: 12.929; 12.829; 10.550; 10.501; 11.187; 13.363 Mg/m³